A relaxed structure of PrNd2Sm4Tm. Source: Alexandria via LeMat-Bulk, functional PBE.

Results
**DOS at the Fermi energy**: 19.8 states/eV/f.u.
**Volume**: 34.631 A^3/atom
**Spin magnetization**: 0.000 μB per atom

Lattice parameters (Å, degrees): 13.795 13.418 6.912 90.00 119.99 90.00
Space group C2/c (No. 15)
One atom of each set of equivalent atoms:
Pr 0.250 0.250 0.000
Nd 0.000 0.000 0.000
Nd 0.250 0.250 0.500
Sm 0.001 0.257 0.001
Sm 0.245 0.500 0.487
Tm 0.000 0.500 0.000

=====

A relaxed structure of CdCuNi. Source: Alexandria via LeMat-Bulk, functional PBE.

Results
**DOS at the Fermi energy**: 1.7 states/eV/f.u.
**Volume**: 16.641 A^3/atom
**Spin magnetization**: 0.000 μB per atom
**Distance to the lowest polymorph of the same formula**: 332 meV per atom

Lattice parameters (Å, degrees): 5.845 5.845 5.845 90.00 90.00 90.00
Space group F-43m (No. 216)
One atom of each set of equivalent atoms:
Cd 0.000 0.000 0.000
Cu 0.250 0.250 0.250
Ni 0.000 0.000 0.500

=====

A relaxed structure of La4CdCo. Source: Alexandria via LeMat-Bulk, functional PBE.

Results
**DOS at the Fermi energy**: 9.8 states/eV/f.u.
**Volume**: 30.867 A^3/atom
**Spin magnetization**: 0.316 μB per atom
**Distance to the lowest polymorph of the same formula**: 829 meV per atom

Lattice parameters (Å, degrees): 9.048 9.048 9.048 90.00 90.00 90.00
Space group F-43m (No. 216)
One atom of each set of equivalent atoms:
La 0.125 0.125 0.125
Cd 0.250 0.250 0.750
Co 0.000 0.000 0.500

=====

A relaxed structure of HgRuPb2. Source: Alexandria via LeMat-Bulk, functional PBE.

Results
**DOS at the Fermi energy**: 3.9 states/eV/f.u.
**Volume**: 22.959 A^3/atom
**Spin magnetization**: 0.095 μB per atom

Lattice parameters (Å, degrees): 7.263 7.275 3.476 90.00 90.22 90.00
Space group C2/m (No. 12)
One atom of each set of equivalent atoms:
Hg 0.000 0.000 0.000
Ru 0.000 0.500 0.000
Pb 0.250 0.250 0.500

=====

no.,calculated formation energy (eV per formula unit)
1,3.1
2,1.1
3,3.7
4,2.1